A relaxed KCaCl3 crystal, computed with PBE.

Properties
Raw total energy = -3.12 eV per atom

a b c (Å): 5.505 5.505 5.505
angles (deg): 90.00 90.00 90.00
Element x y z (fractional)
Cl (0.000, 0.000, 0.500)
Cl (0.000, 0.500, 0.000)
Cl (0.500, 0.000, 0.000)
Ca (0.500, 0.500, 0.500)
K (0.000, 0.000, 0.000)

=====

A relaxed KSrVSe4 crystal, computed with PBE.

Properties
Raw total energy = -4.90 eV per atom

a b c (Å): 7.007 7.030 9.240
angles (deg): 90.00 107.59 90.00
Element x y z (fractional)
Se (0.381, 0.750, 0.561)
Se (0.406, 0.750, 0.155)
Se (0.594, 0.250, 0.845)
Se (0.991, 0.493, 0.258)
Se (0.991, 0.007, 0.258)
Se (0.009, 0.507, 0.742)
Se (0.619, 0.250, 0.439)
Se (0.009, 0.993, 0.742)
V (0.204, 0.750, 0.309)
V (0.796, 0.250, 0.691)
Sr (0.230, 0.250, 0.546)
Sr (0.770, 0.750, 0.454)
K (0.722, 0.750, 0.930)
K (0.278, 0.250, 0.070)

=====

A relaxed Ho5Se8 crystal, computed with PBE.

Properties
Raw total energy = -5.63 eV per atom

a b c (Å): 8.186 8.186 7.863
angles (deg): 104.21 106.34 119.60
Element x y z (fractional)
Se (0.724, 0.556, 0.741)
Se (0.797, 0.454, 0.250)
Se (0.276, 0.444, 0.259)
Se (0.815, 0.984, 0.259)
Se (0.297, 0.985, 0.282)
Se (0.203, 0.546, 0.750)
Se (0.185, 0.016, 0.741)
Se (0.703, 0.015, 0.718)
Ho (0.728, 0.722, 0.449)
Ho (0.759, 0.259, 0.500)
Ho (0.241, 0.741, 0.500)
Ho (0.272, 0.278, 0.551)
Ho (0.000, 0.000, 0.000)

=====

A relaxed Pm2DyHo9 crystal, computed with PBE.

Properties
E above lowest polymorph = 0.71 eV per formula unit
Raw total energy = -4.48 eV per atom

a b c (Å): 5.886 5.886 10.997
angles (deg): 90.00 90.00 90.00
Element x y z (fractional)
Pm (0.000, 0.000, 0.333)
Pm (0.000, 0.000, 0.667)
Ho (0.500, 0.500, 0.334)
Ho (0.500, 0.500, 0.666)
Ho (0.500, 0.500, 0.000)
Ho (0.500, 0.000, 0.165)
Ho (0.000, 0.500, 0.500)
Ho (0.000, 0.500, 0.835)
Ho (0.500, 0.000, 0.500)
Ho (0.000, 0.500, 0.165)
Ho (0.500, 0.000, 0.835)
Dy (0.000, 0.000, 0.000)

=====

| no. | spin magnetization (μB per cell) |
| --- | --- |
| 1 | 0.0 |
| 2 | 0.0 |
| 3 | 0.0 |
| 4 | 0.0 |